# 1
A geometry-optimized TmScFeNi structure, computed with PBE.

The structure belongs to space group F-43m (No. 216); the cell edges are 6.435, 6.435 and 6.435 Å and the angles 90.00°, 90.00° and 90.00°. The distinct sites, in fractional coordinates, are Tm at (0.000, 0.000, 0.000), Sc at (0.000, 0.000, 0.500), Fe at (0.250, 0.250, 0.750) and Ni at (0.250, 0.250, 0.250).

As for the uncorrected energy: -6.465 eV/atom. The value obtained for the formation energy is -0.20 eV per atom.

# 2
A geometry-optimized Pr2GaSi4Rh3 structure, computed with PBE.

The structure belongs to space group P-4m2 (No. 115); the cell edges are 4.205, 4.205 and 10.068 Å and the angles 90.00°, 90.00° and 90.00°. The distinct sites, in fractional coordinates, are Pr at (0.000, 0.500, 0.243), Ga at (0.000, 0.000, 0.500), Si at (0.000, 0.000, 0.000), Si at (0.000, 0.500, 0.643), Si at (0.500, 0.500, 0.000), Rh at (0.000, 0.500, 0.881) and Rh at (0.500, 0.500, 0.500).

The energy relative to the elements, uncorrected comes out at -8.84 eV/f.u. As for the uncorrected energy: -6.517 eV/atom.

# 3
A geometry-optimized ScZn2Au2 structure, computed with PBE.

The structure belongs to space group R-3m (No. 166, hexagonal axes); the cell edges are 4.6210, 4.6210 and 14.2722 Å and the angles 90.00°, 90.00° and 120.00°. The distinct sites, in fractional coordinates, are Sc at (0.0000, 0.0000, 0.0000), Zn at (0.0000, 0.0000, 0.2120) and Au at (0.0000, 0.0000, 0.4048).

As for the offset from the most stable computed form: 54 meV per atom. As for the uncorrected energy: -3.503 eV/atom. The value obtained for the formation energy is -0.42 eV per atom.